This record from Alexandria via LeMat-Bulk describes crystalline Pm2TmS2O2 at its relaxed geometry. The functional is GGA-PBE.

Total DFT energy (no corrections): -49.61 eV/f.u.

Unit cell a=8.026 b=8.026 c=8.026 alpha=149.50 beta=149.50 gamma=43.68
Fractional coordinates of all 7 atoms:
Pm  0.133  0.133  0.000
Pm  0.867  0.867  0.000
Tm  0.500  0.500  0.000
S  0.322  0.322  0.000
S  0.678  0.678  0.000
O  0.000  0.500  0.500
O  0.500  0.000  0.500

=====

This record from Alexandria via LeMat-Bulk describes crystalline LaY2ScTc at its relaxed geometry. The functional is GGA-PBE.

Polymorph energy (0 for the lowest one): 0.0 kJ/mol of atoms
Energy of formation from the pure elements: 81 meV/atom

Unit cell a=5.436 b=5.436 c=5.156 alpha=90.00 beta=90.00 gamma=90.00
Fractional coordinates of all 5 atoms:
La  0.000  0.000  0.000
Y  0.000  0.500  0.500
Y  0.500  0.000  0.500
Sc  0.500  0.500  0.000
Tc  0.500  0.500  0.500

=====

This record from Alexandria via LeMat-Bulk describes crystalline Ta2AlPd6 at its relaxed geometry. The functional is GGA-PBE.

Energy of formation from the pure elements: -228 meV/atom

Unit cell a=7.037 b=7.037 c=4.435 alpha=98.68 beta=98.68 gamma=47.44
Fractional coordinates of all 9 atoms:
Ta  0.184  0.184  0.096
Ta  0.816  0.816  0.904
Al  0.500  0.500  0.500
Pd  0.094  0.596  0.404
Pd  0.250  0.750  0.000
Pd  0.404  0.906  0.596
Pd  0.596  0.094  0.404
Pd  0.750  0.250  0.000
Pd  0.906  0.404  0.596

=====

This record from Alexandria via LeMat-Bulk describes crystalline TiFeNiP at its relaxed geometry. The functional is GGA-PBE.

Polymorph energy (0 for the lowest one): 0.0 kJ/mol of atoms
Energy of formation from the pure elements: -607 meV/atom

Unit cell a=3.794 b=3.794 c=4.615 alpha=114.20 beta=114.20 gamma=59.87
Fractional coordinates of all 4 atoms:
Ti  0.000  0.000  0.000
Fe  0.569  0.569  0.705
Ni  0.786  0.786  0.354
P  0.209  0.209  0.623

=====

Number 1: size of the total moment 0.00 μB per atom, density of states at the Fermi level 0.31 states/eV/atom. Number 2: size of the total moment 0.00 μB per atom, density of states at the Fermi level 1.45 states/eV/atom. Number 3: size of the total moment 0.00 μB per atom, density of states at the Fermi level 0.51 states/eV/atom. Number 4: size of the total moment 0.00 μB per atom, density of states at the Fermi level 0.61 states/eV/atom.